No. 1
The following is a DFT calculation (GGA-PBE) of an optimized crystal structure of Li4TbPt.

The total magnetic moment is 0.0000 μB per atom. The calculation puts the volume at 16.38 Å³ per atom. The mass density is 6.45 g/cm³. The crystal system is cubic. Its calculated total energy is -3.27 eV per atom. The calculation puts the formation enthalpy at 0 K at -1.3 eV per formula unit.

The space group is F-43m (No. 216) and the conventional cell measures 7.326, 7.326 and 7.326 Å, with angles of 90.00, 90.00 and 90.00 degrees. The inequivalent atoms are Li at (0.122, 0.122, 0.122), Tb at (0.000, 0.000, 0.500) and Pt at (0.250, 0.250, 0.750).



No. 2
The following is a DFT calculation (GGA-PBE) of an optimized crystal structure of LiTbThPt.

The total magnetic moment is 0.0000 μB per atom. The calculation puts the volume at 23.25 Å³ per atom. The mass density is 10.59 g/cm³. The crystal system is cubic. Its calculated total energy is -5.49 eV per atom. The calculation puts the formation enthalpy at 0 K at -1.9 eV per formula unit.

The space group is F-43m (No. 216) and the conventional cell measures 7.192, 7.192 and 7.192 Å, with angles of 90.00, 90.00 and 90.00 degrees. The inequivalent atoms are Li at (0.000, 0.000, 0.000), Tb at (0.250, 0.250, 0.750), Th at (0.250, 0.250, 0.250) and Pt at (0.000, 0.000, 0.500).



No. 3
The following is a DFT calculation (GGA-PBE) of an optimized crystal structure of LiTbTlPt.

The total magnetic moment is 0.0000 μB per atom. The calculation puts the volume at 20.07 Å³ per atom. The mass density is 11.69 g/cm³. The crystal system is cubic. Its calculated total energy is -4.35 eV per atom. The calculation puts the formation enthalpy at 0 K at -2.5 eV per formula unit.

The space group is F-43m (No. 216) and the conventional cell measures 6.848, 6.848 and 6.848 Å, with angles of 90.00, 90.00 and 90.00 degrees. The inequivalent atoms are Li at (0.000, 0.000, 0.000), Tb at (0.250, 0.250, 0.750), Tl at (0.250, 0.250, 0.250) and Pt at (0.000, 0.000, 0.500).



No. 4
The following is a DFT calculation (GGA-PBE) of an optimized crystal structure of LiTbYPt.

The total magnetic moment is 0.0000 μB per atom. The calculation puts the volume at 22.07 Å³ per atom. The mass density is 8.46 g/cm³. The crystal system is cubic. Its calculated total energy is -5.42 eV per atom. The calculation puts the formation enthalpy at 0 K at -2.6 eV per formula unit.

The space group is F-43m (No. 216) and the conventional cell measures 7.068, 7.068 and 7.068 Å, with angles of 90.00, 90.00 and 90.00 degrees. The inequivalent atoms are Li at (0.000, 0.000, 0.000), Tb at (0.250, 0.250, 0.250), Y at (0.250, 0.250, 0.750) and Pt at (0.000, 0.000, 0.500).



No. 5
The following is a DFT calculation (GGA-PBE) of an optimized crystal structure of LiTbZnPt.

The total magnetic moment is 0.0001 μB per atom. The calculation puts the volume at 18.14 Å³ per atom. The mass density is 9.76 g/cm³. The crystal system is cubic. Its calculated total energy is -4.09 eV per atom. The calculation puts the formation enthalpy at 0 K at -2.5 eV per formula unit.

The space group is F-43m (No. 216) and the conventional cell measures 6.620, 6.620 and 6.620 Å, with angles of 90.00, 90.00 and 90.00 degrees. The inequivalent atoms are Li at (0.000, 0.000, 0.000), Tb at (0.250, 0.250, 0.750), Zn at (0.250, 0.250, 0.250) and Pt at (0.000, 0.000, 0.500).



No. 6
The following is a DFT calculation (GGA-PBE) of an optimized crystal structure of LiTbZnPt2.

The total magnetic moment is 0.0000 μB per atom. The calculation puts the volume at 18.23 Å³ per atom. The mass density is 11.32 g/cm³. The crystal system is tetragonal. Its calculated total energy is -4.81 eV per atom. The calculation puts the formation enthalpy at 0 K at -4.2 eV per formula unit.

The space group is I-4m2 (No. 119) and the conventional cell measures 3.794, 3.794 and 12.663 Å, with angles of 90.00, 90.00 and 90.00 degrees. The inequivalent atoms are Li at (0.000, 0.000, 0.000), Tb at (0.000, 0.500, 0.750), Zn at (0.000, 0.000, 0.500) and Pt at (0.000, 0.500, 0.142).



No. 7
The following is a DFT calculation (GGA-PBE) of an optimized crystal structure of LiTc2Pt.

The total magnetic moment is 0.0001 μB per atom. The calculation puts the volume at 14.28 Å³ per atom. The mass density is 11.57 g/cm³. The crystal system is cubic. Its calculated total energy is -6.80 eV per atom. The calculation puts the formation enthalpy at 0 K at 1.5 eV per formula unit.

The space group is Fm-3m (No. 225) and the conventional cell measures 6.114, 6.114 and 6.114 Å, with angles of 90.00, 90.00 and 90.00 degrees. The inequivalent atoms are Li at (0.000, 0.000, 0.000), Tc at (0.250, 0.250, 0.250) and Pt at (0.000, 0.000, 0.500).



No. 8
The following is a DFT calculation (GGA-PBE) of an optimized crystal structure of LiTc3Pt.

The total magnetic moment is 0.0000 μB per atom. The calculation puts the volume at 13.84 Å³ per atom. The mass density is 11.90 g/cm³. The crystal system is cubic. Its calculated total energy is -6.87 eV per atom. The calculation puts the formation enthalpy at 0 K at 4.7 eV per formula unit.

The space group is Pm-3m (No. 221) and the conventional cell measures 4.105, 4.105 and 4.105 Å, with angles of 90.00, 90.00 and 90.00 degrees. The inequivalent atoms are Li at (0.000, 0.000, 0.000), Tc at (0.000, 0.000, 0.500) and Pt at (0.500, 0.500, 0.500).



No. 9
The following is a DFT calculation (GGA-PBE) of an optimized crystal structure of LiTc2Pt.

The total magnetic moment is 0.0000 μB per atom. The calculation puts the volume at 14.17 Å³ per atom. The mass density is 11.66 g/cm³. The crystal system is monoclinic. Its calculated total energy is -7.23 eV per atom. The calculation puts the formation enthalpy at 0 K at -0.2 eV per formula unit.

The space group is Pm (No. 6) and the conventional cell measures 2.656, 4.163 and 5.208 Å, with angles of 90.00, 100.20 and 90.00 degrees. The inequivalent atoms are Li at (0.000, 0.000, 0.000), Tc at (0.222, 0.500, 0.746), Tc at (0.438, 0.000, 0.515) and Pt at (0.834, 0.500, 0.218).



No. 10
The following is a DFT calculation (GGA-PBE) of an optimized crystal structure of Li4TcPt.

The total magnetic moment is 0.4242 μB per atom. The calculation puts the volume at 12.97 Å³ per atom. The mass density is 6.85 g/cm³. The crystal system is cubic. Its calculated total energy is -3.87 eV per atom. The calculation puts the formation enthalpy at 0 K at 0.8 eV per formula unit.

The space group is F-43m (No. 216) and the conventional cell measures 6.778, 6.778 and 6.778 Å, with angles of 90.00, 90.00 and 90.00 degrees. The inequivalent atoms are Li at (0.124, 0.124, 0.124), Tc at (0.000, 0.000, 0.500) and Pt at (0.250, 0.250, 0.750).



No. 11
The following is a DFT calculation (GGA-PBE) of an optimized crystal structure of LiTc2Pt.

The total magnetic moment is 0.0000 μB per atom. The calculation puts the volume at 14.38 Å³ per atom. The mass density is 11.49 g/cm³. The crystal system is monoclinic. Its calculated total energy is -7.21 eV per atom. The calculation puts the formation enthalpy at 0 K at -0.1 eV per formula unit.

The space group is Cm (No. 8) and the conventional cell measures 8.753, 2.673 and 4.939 Å, with angles of 90.00, 95.16 and 90.00 degrees. The inequivalent atoms are Li at (0.000, 0.000, 0.000), Tc at (0.244, 0.000, 0.714), Tc at (0.481, 0.000, 0.505) and Pt at (0.248, 0.500, 0.196).



No. 12
The following is a DFT calculation (GGA-PBE) of an optimized crystal structure of LiTc2Pt.

The total magnetic moment is 0.0000 μB per atom. The calculation puts the volume at 14.82 Å³ per atom. The mass density is 11.15 g/cm³. The crystal system is orthorhombic. Its calculated total energy is -7.14 eV per atom. The calculation puts the formation enthalpy at 0 K at 0.1 eV per formula unit.

The space group is Cmm2 (No. 35) and the conventional cell measures 2.856, 4.550 and 9.124 Å, with angles of 90.00, 90.00 and 90.00 degrees. The inequivalent atoms are Li at (0.000, 0.000, 0.000), Tc at (0.000, 0.000, 0.497), Tc at (0.000, 0.500, 0.261) and Pt at (0.000, 0.500, 0.764).



Q: Which formula does entry 8 have?
A: LiTc3Pt



Q: What is the calculated total energy in the seventh record?
A: -6.80 eV per atom